No. 1
Compound: Pm3ErMg
Source: Alexandria
Functional: GGA-PBE
Structure: optimized geometry

```
10
Lattice="-1.525 3.067 1.676 -4.387 -8.463 -5.863 -1.288 -5.533 8.950" Properties=species:S:1:pos:R:3 pbc="T T T"
Pm -4.446 -8.404 0.483
Pm -2.754 -2.526 4.280
Pm -5.082 -11.135 4.901
Pm -2.118 0.205 -0.137
Pm -3.958 -7.743 4.061
Pm -3.241 -3.187 0.703
Er -5.320 -11.716 1.409
Er -1.880 0.786 3.354
Mg -2.398 -5.483 5.683
Mg -4.802 -5.447 -0.919
```

For the relative energy among the computed polymorphs, the calculation gives 59 meV/atom. As for the total magnetization: 0.0 μB per formula unit. The mass density comes out at 6.3 g cm⁻³.



No. 2
Compound: Pm2ErMg
Source: Alexandria
Functional: GGA-PBE
Structure: optimized geometry

```
4
Lattice="4.857 0.000 0.000 0.000 5.014 0.000 0.000 0.000 5.014" Properties=species:S:1:pos:R:3 pbc="T T T"
Mg 2.428 0.000 0.000
Pm 0.000 0.000 2.507
Pm 0.000 2.507 0.000
Er 2.428 2.507 2.507
```

For the relative energy among the computed polymorphs, the calculation gives 39 meV/atom. As for the total magnetization: 0.0 μB per formula unit. The mass density comes out at 6.5 g cm⁻³.



No. 3
Compound: PmEr7Mg4
Source: Alexandria
Functional: GGA-PBE
Structure: optimized geometry

```
12
Lattice="-3.792 -1.201 4.042 4.227 -6.496 6.013 0.772 4.210 5.953" Properties=species:S:1:pos:R:3 pbc="T T T"
Pm 0.000 0.000 0.000
Er 1.201 -4.303 11.782
Er 0.007 0.816 4.227
Er 2.602 -2.931 5.548
Er -1.394 -0.556 10.460
Er 1.910 -1.275 9.368
Er -1.896 -0.600 2.021
Er -0.702 -2.212 6.640
Mg -0.724 0.665 7.474
Mg 1.931 -4.152 8.534
Mg 0.946 -1.104 12.493
Mg 0.262 -2.383 3.515
```

As for the total magnetization: 0.0 μB per formula unit. The mass density comes out at 6.5 g cm⁻³. As for the total energy: -40.22 eV per cell.



No. 4
Compound: PmEr4Mg5
Source: Alexandria
Functional: GGA-PBE
Structure: optimized geometry

```
10
Lattice="3.776 0.000 0.000 0.000 3.776 0.000 0.000 0.000 19.002" Properties=species:S:1:pos:R:3 pbc="T T T"
Pm 0.000 0.000 0.000
Er 0.000 0.000 3.888
Er 0.000 0.000 7.631
Er 0.000 0.000 11.371
Er 0.000 0.000 15.114
Mg 1.888 1.888 2.015
Mg 1.888 1.888 5.756
Mg 1.888 1.888 9.501
Mg 1.888 1.888 13.246
Mg 1.888 1.888 16.987
```

As for the total magnetization: 0.0 μB per formula unit. The mass density comes out at 5.7 g cm⁻³. As for the total energy: -31.70 eV per cell.



No. 5
Compound: Pm8ErMg2
Source: Alexandria
Functional: GGA-PBE
Structure: optimized geometry

```
11
Lattice="4.925 0.000 -1.416 -0.819 7.606 -2.849 -0.003 0.472 9.262" Properties=species:S:1:pos:R:3 pbc="T T T"
Pm 2.549 3.577 -0.408
Pm 1.501 0.809 5.220
Pm 0.530 1.624 1.842
Pm -0.358 5.629 -1.245
Pm 3.573 6.453 3.155
Pm 2.602 7.269 -0.223
Pm 1.554 4.501 5.405
Pm 4.460 2.449 6.242
Er 2.462 0.000 -0.708
Mg 0.598 5.035 2.079
Mg 3.505 3.042 2.918
```

For the relative energy among the computed polymorphs, the calculation gives 0 meV/atom. As for the total magnetization: 0.0 μB per formula unit. The mass density comes out at 6.5 g cm⁻³.



No. 6
Compound: Pm8ErMg2
Source: Alexandria
Functional: GGA-PBE
Structure: optimized geometry

```
11
Lattice="-0.808 -1.311 -5.581 5.772 -5.692 -3.779 -1.736 -8.924 0.207" Properties=species:S:1:pos:R:3 pbc="T T T"
Pm -0.527 -3.699 -5.127
Pm -0.174 -9.876 -5.868
Pm 2.126 -2.718 -3.191
Pm 3.426 -8.901 -5.688
Pm -0.198 -7.026 -3.464
Pm 2.837 -4.285 -6.169
Pm 3.402 -6.051 -3.285
Pm 3.755 -12.228 -4.026
Er -0.404 -0.656 -2.791
Mg 1.101 -5.194 -1.080
Mg 2.935 -9.422 -2.492
```

For the relative energy among the computed polymorphs, the calculation gives 106 meV/atom. As for the total magnetization: 0.0 μB per formula unit. The mass density comes out at 6.3 g cm⁻³.



No. 7
Compound: PmEr2Mg
Source: Alexandria
Functional: GGA-PBE
Structure: optimized geometry

```
4
Lattice="-2.310 -0.801 -2.516 -2.751 -2.053 0.724 -7.806 8.183 2.101" Properties=species:S:1:pos:R:3 pbc="T T T"
Pm -11.177 6.274 0.905
Er -6.239 5.839 1.408
Er -3.261 1.399 0.097
Mg -6.431 2.664 0.155
```

For the relative energy among the computed polymorphs, the calculation gives 79 meV/atom. As for the total magnetization: 0.0 μB per formula unit. The mass density comes out at 6.9 g cm⁻³.



No. 8
Compound: PmEr4Mg
Source: Alexandria
Functional: GGA-PBE
Structure: optimized geometry

```
6
Lattice="3.568 0.000 0.000 0.000 3.568 0.000 0.000 0.000 14.174" Properties=species:S:1:pos:R:3 pbc="T T T"
Pm 0.000 0.000 0.000
Er 1.784 1.784 2.529
Er 0.000 0.000 9.235
Er 0.000 0.000 4.938
Er 1.784 1.784 11.644
Mg 1.784 1.784 7.087
```

For the relative energy among the computed polymorphs, the calculation gives 0 meV/atom. As for the total magnetization: 0.0 μB per formula unit. The mass density comes out at 7.7 g cm⁻³.



Which value of total magnetization does entry 3 give?
0.0 μB per formula unit



Look up the total magnetization of the eighth one.
0.0 μB per formula unit